A plane-wave DFT calculation with GGA-PBE was carried out for a relaxed structure of CaCd2Ge.

a = 4.3414 Å, b = 4.3414 Å, c = 21.6493 Å
α = 90.00°, β = 90.00°, γ = 90.00°
Closest atoms and distances in Å follow each position.
Space group I-42d (No. 122)
Inequivalent atoms, fractional coordinates:
Ca 0.0000 0.0000 0.0000  4 Ge 3.07, 4 Cd 3.14
Cd 0.2290 0.2500 0.6250  4 Cd 2.94-3.20, 2 Ge 3.08, 2 Ca 3.14
Ge 0.0000 0.0000 0.5000  4 Ca 3.07, 4 Cd 3.08

Results
The calculation puts the total magnetization at 0.0 μB/f.u. The final energy is -35.14 eV for the cell shown.

***

A plane-wave DFT calculation with GGA-PBE was carried out for a relaxed structure of CaCd3Ge.

a = 5.3094 Å, b = 5.3094 Å, c = 5.3094 Å
α = 90.00°, β = 90.00°, γ = 90.00°
Closest atoms and distances in Å follow each position.
Space group Pm-3m (No. 221)
Inequivalent atoms, fractional coordinates:
Ca 0.0000 0.0000 0.0000  12 Cd 3.75
Cd 0.0000 0.5000 0.5000  2 Ge 2.65
Ge 0.5000 0.5000 0.5000  6 Cd 2.65

Results
The calculation puts the total magnetization at 0.0 μB/f.u. The energy relative to the lowest polymorph listed for this composition is 0 meV/atom. The final energy is -8.71 eV for the cell shown.

***

Question: Number 2 is which compound?
Answer: CaCd3Ge